Ca12N3O5 | PBE | optimized geometry

Cell and atoms, written as extended XYZ:
```
80
Lattice="-7.284 7.284 7.284 7.284 -7.284 7.284 7.284 7.284 -7.284" Properties=species:S:1:pos:R:3 pbc="T T T"
Ca 2.274 -0.325 0.825
Ca 8.652 4.467 -3.967
Ca 9.557 0.325 0.825
Ca 8.652 -2.817 3.967
Ca 6.959 -0.825 2.274
Ca 11.250 -1.368 2.817
Ca 0.825 2.274 -0.325
Ca 10.101 3.317 -1.368
Ca 4.467 3.967 -1.368
Ca 6.459 2.274 0.325
Ca -0.325 0.825 2.274
Ca 3.967 -1.368 4.467
Ca 6.959 6.459 -2.274
Ca 3.967 1.368 2.817
Ca 4.467 -3.967 8.652
Ca 6.459 -2.274 6.959
Ca 2.817 3.967 1.368
Ca 8.109 5.010 0.325
Ca 3.967 8.652 -2.817
Ca 6.959 0.825 5.010
Ca 2.274 6.959 -0.825
Ca 8.652 2.817 3.317
Ca 1.368 2.817 3.967
Ca 2.274 0.325 6.459
Ca 5.010 6.959 0.825
Ca 5.916 4.467 3.317
Ca -1.368 4.467 3.967
Ca 5.010 0.325 8.109
Ca 0.325 6.459 2.274
Ca 3.317 -1.368 10.101
Ca -0.825 2.274 6.959
Ca 4.467 3.317 5.916
Ca 0.825 9.557 0.325
Ca 2.817 11.250 -1.368
Ca 3.317 5.916 4.467
Ca 0.325 0.825 9.557
Ca 3.317 8.652 2.817
Ca 7.608 6.459 5.010
Ca 0.825 5.010 6.959
Ca 2.817 3.317 8.652
Ca -2.817 3.967 8.652
Ca 6.459 5.010 7.608
Ca -3.967 8.652 4.467
Ca 0.325 8.109 5.010
Ca -1.368 10.101 3.317
Ca -2.274 6.959 6.459
Ca -1.368 2.817 11.250
Ca 5.010 7.608 6.459
N 3.642 1.821 0.000
N 7.284 3.642 -1.821
N 1.821 0.000 3.642
N 9.105 0.000 3.642
N 0.000 3.642 1.821
N 3.642 -1.821 7.284
N 3.642 9.105 0.000
N 7.284 3.642 5.463
N -1.821 7.284 3.642
N 5.463 7.284 3.642
N 0.000 3.642 9.105
N 3.642 5.463 7.284
O 0.000 0.000 0.000
O 3.642 3.642 -3.642
O 3.642 -3.642 3.642
O 7.284 0.000 0.000
O 10.926 1.821 0.000
O 7.284 -3.642 5.463
O 5.463 7.284 -3.642
O 5.463 0.000 3.642
O 3.642 5.463 0.000
O 7.284 3.642 1.821
O -3.642 3.642 3.642
O 0.000 7.284 0.000
O 0.000 0.000 7.284
O 3.642 3.642 3.642
O 0.000 3.642 5.463
O 3.642 1.821 7.284
O 1.821 7.284 3.642
O 1.821 0.000 10.926
O 0.000 10.926 1.821
O -3.642 5.463 7.284
```

Computed properties:
Total energy ... -101.59 eV/f.u.
Magnetic moment ... 6.42 Bohr magnetons per cell
Mass density ... 2.59 g/cm³
Formation energy (no corrections) ... -1.3903 eV per atom